Compound: BaAg2GeTeS3
Source: OQMD
Functional: PBE
Structure: relaxed

**Volume**: 214.5 Å³/cell
**Uncorrected energy**: -4.15 eV per atom

abc: 6.446 6.462 6.644
angles: 112.45 115.49 98.31
Atoms (fractional coordinates):
Ba: 0.000 0.000 0.000
Ag: 0.189 0.676 0.490
Ag: 0.778 0.325 0.460
Ge: 0.447 0.449 0.933
Te: 0.811 0.830 0.356
S: 0.105 0.485 0.929
S: 0.444 0.439 0.589
S: 0.503 0.127 0.971